A plane-wave DFT calculation with PBE+U was carried out for an optimized crystal structure of BaErFe2O5.

```
9
Lattice="3.9674 0.0000 0.0000 0.0000 3.9674 0.0000 0.0000 0.0000 7.5826" Properties=species:S:1:pos:R:3 pbc="T T T"
Ba 0.0000 0.0000 3.7913
Er 0.0000 0.0000 0.0000
Fe 1.9837 1.9837 1.7408
Fe 1.9837 1.9837 5.8418
O 0.0000 1.9837 1.3900
O 1.9837 0.0000 1.3900
O 0.0000 1.9837 6.1926
O 1.9837 0.0000 6.1926
O 1.9837 1.9837 3.7913
```

Results
The crystal system is tetragonal. As for the symmetry: P4/mmm. The value obtained for the magnetic moment is 9.00 Bohr magnetons per cell. The value obtained for the total energy is -63.179 eV per formula unit.